1.
An optimized crystal structure of GaBr2N. Source: the Alexandria database, functional PBE.

It has space group Fm-3m (No. 225), with a = 7.059 Å, b = 7.059 Å, c = 7.059 Å, α = 90.00°, β = 90.00° and γ = 90.00°. Symmetry generates all atoms from Ga at (0.000, 0.000, 0.000), Br at (0.250, 0.250, 0.250) and N at (0.000, 0.000, 0.500).

The crystal system is cubic. The calculation puts the energy above the most stable polymorph in this dataset at 281 meV/atom. The uncorrected formation energy comes out at 1.102 eV per atom.

2.
An optimized crystal structure of Nd5YPt6. Source: the Alexandria database, functional PBE.

It has space group C2/m (No. 12), with a = 16.161 Å, b = 7.111 Å, c = 5.097 Å, α = 90.00°, β = 108.12° and γ = 90.00°. Symmetry generates all atoms from Nd at (0.000, 0.000, 0.000), Nd at (0.166, 0.000, 0.667), Nd at (0.166, 0.500, 0.666), Y at (0.000, 0.500, 0.000), Pt at (0.000, 0.258, 0.500) and Pt at (0.161, 0.255, 0.161).

The crystal system is monoclinic. The value obtained for the formation energy is -1068 meV/atom.

3.
An optimized crystal structure of SbRu2Pb. Source: the Alexandria database, functional PBE.

It has space group F-43m (No. 216), with a = 6.741 Å, b = 6.741 Å, c = 6.741 Å, α = 90.00°, β = 90.00° and γ = 90.00°. Symmetry generates all atoms from Sb at (0.000, 0.000, 0.000), Ru at (0.000, 0.000, 0.500), Ru at (0.250, 0.250, 0.250) and Pb at (0.250, 0.250, 0.750).

The crystal system is cubic. The uncorrected formation energy comes out at 0.715 eV per atom.

4.
An optimized crystal structure of RbPuI4. Source: the Alexandria database, functional PBE.

It has space group C2/c (No. 15), with a = 10.609 Å, b = 15.464 Å, c = 7.533 Å, α = 90.00°, β = 119.41° and γ = 90.00°. Symmetry generates all atoms from Rb at (0.000, 0.136, 0.250), Pu at (0.000, 0.488, 0.250), I at (0.107, 0.339, 0.583) and I at (0.232, 0.064, 0.818).

The crystal system is monoclinic. The calculation puts the energy above the most stable polymorph in this dataset at 36 meV/atom. The uncorrected formation energy comes out at -1.164 eV per atom.